The following is a PBE calculation of NaH2O after structural relaxation, from Alexandria.

Unit cell a=4.909 b=4.909 c=4.909 alpha=90.00 beta=90.00 gamma=90.00
Space group Fm-3m (No. 225)
Unique sites:
Na 0.000 0.000 0.000 x4
H 0.250 0.250 0.250 x8
O 0.000 0.000 0.500 x4

Properties
**Total moment**: 0.0 μB per formula unit
**DOS at the Fermi energy**: 1.509 states/eV/f.u.
**Energy above the most stable polymorph in this dataset**: 0.965 eV per atom

=====

The following is a PBE calculation of NaH3O after structural relaxation, from Alexandria.

Unit cell a=3.5007 b=3.5007 c=11.7670 alpha=90.00 beta=90.00 gamma=120.00
Space group R3m (No. 160, hexagonal axes)
Unique sites:
Na 0.0000 0.0000 0.0000 x3
H 0.2121 0.1060 0.1723 x9
O 0.0000 0.0000 0.7980 x3

Properties
**Total moment**: 0.0 μB per formula unit
**DOS at the Fermi energy**: 0.000 states/eV/f.u.
**Energy above the most stable polymorph in this dataset**: 0.000 eV per atom

=====

The following is a PBE calculation of Na2HO2 after structural relaxation, from Alexandria.

Unit cell a=3.357 b=3.357 c=10.312 alpha=90.00 beta=90.00 gamma=90.00
Space group I4/mmm (No. 139)
Unique sites:
Na 0.000 0.000 0.148 x4
H 0.000 0.000 0.500 x2
O 0.000 0.000 0.383 x4

Properties
**Total moment**: 1.0 μB per formula unit
**DOS at the Fermi energy**: 4.367 states/eV/f.u.
**Energy**: -4.208 eV per atom

=====

The following is a PBE calculation of NaHO after structural relaxation, from Alexandria.

Unit cell a=3.503 b=10.360 c=3.417 alpha=90.00 beta=90.00 gamma=90.00
Space group Cmc2_1 (No. 36)
Unique sites:
Na 0.000 0.153 0.000 x4
H 0.000 0.460 0.877 x4
O 0.000 0.380 0.031 x4

Properties
**Total moment**: 0.0 μB per formula unit
**DOS at the Fermi energy**: 0.000 states/eV/f.u.
**Energy**: -4.547 eV per atom